A plane-wave DFT calculation with PBE-GGA was carried out for a geometry-optimized LaPr2Pb structure.

Cell lengths 5.0801, 5.0801, 4.9821 Å; angles 90.00, 90.00, 90.00 degrees
With the nearest neighbours (Å) after each atom.
Atoms (fractional coordinates):
La 0.0000 0.0000 0.0000  8 Pr 3.56, 4 Pb 3.59
Pr 0.0000 0.5000 0.5000  4 La 3.56, 4 Pb 3.56, 4 Pr 3.59
Pr 0.5000 0.0000 0.5000  4 La 3.56, 4 Pb 3.56, 4 Pr 3.59
Pb 0.5000 0.5000 0.0000  8 Pr 3.56, 4 La 3.59

Summary:
- ΔE_f (eV per atom) = -0.3612
- DFT total energy (eV for the cell shown) = -19.640
- V (Å³/atom) = 32.14
- calculated density (g/cm³) = 8.109
- space group = P4/mmm (123)
- relative energy among the computed polymorphs (meV/atom) = 0

---

A plane-wave DFT calculation with PBE-GGA was carried out for a geometry-optimized La3PrPb3 structure.

Cell lengths 9.8938, 9.8938, 6.4489 Å; angles 90.00, 90.00, 120.00 degrees
With the nearest neighbours (Å) after each atom.
Atoms (fractional coordinates):
La 0.0137 0.6969 0.2500  5 Pb 3.14-3.49
La 0.3031 0.3168 0.2500  5 Pb 3.14-3.49
La 0.3168 0.0137 0.7500  5 Pb 3.14-3.49
La 0.6832 0.9863 0.2500  5 Pb 3.14-3.49
La 0.6969 0.6832 0.7500  5 Pb 3.14-3.49
La 0.9863 0.3031 0.7500  5 Pb 3.14-3.49
Pr 0.3333 0.6667 0.7500  3 Pb 3.27, 3 La 3.52
Pr 0.6667 0.3333 0.2500  3 Pb 3.27, 3 La 3.52
Pb 0.0101 0.3606 0.2500  5 La 3.14-3.49, 1 Pr 3.27
Pb 0.3505 0.9899 0.2500  5 La 3.14-3.49, 1 Pr 3.27
Pb 0.3606 0.3505 0.7500  5 La 3.14-3.49, 1 Pr 3.27
Pb 0.6394 0.6495 0.2500  5 La 3.14-3.49, 1 Pr 3.27
Pb 0.6495 0.0101 0.7500  5 La 3.14-3.49, 1 Pr 3.27
Pb 0.9899 0.6394 0.7500  5 La 3.14-3.49, 1 Pr 3.27

Summary:
- ΔE_f (eV per atom) = -0.3659
- DFT total energy (eV for the cell shown) = -66.497
- V (Å³/atom) = 39.05
- calculated density (g/cm³) = 7.164
- space group = P6_3/m (176)

---

A plane-wave DFT calculation with PBE-GGA was carried out for a geometry-optimized La12Pr7Pb structure.

Cell lengths 6.6786, 10.2286, 12.0888 Å; angles 113.42, 105.45, 90.39 degrees
With the nearest neighbours (Å) after each atom.
Atoms (fractional coordinates):
La 0.0769 0.3378 0.3995  3 Pr 3.50-3.76, 6 La 3.50-3.76
La 0.2139 0.0986 0.8465  4 La 3.64-4.01, 6 Pr 3.75-3.99
La 0.2334 0.0508 0.5139  2 La 3.17-3.47, 2 Pr 3.46-3.53
La 0.2608 0.0886 0.1501  3 Pr 3.44-3.72, 5 La 3.47-3.71
La 0.3877 0.7404 0.5436  7 La 3.47-3.67, 1 Pr 3.59
La 0.4112 0.4544 0.2605  4 La 3.47-3.67, 5 Pr 3.56-3.83, 1 Pb 3.78
La 0.5888 0.5456 0.7395  4 La 3.47-3.67, 5 Pr 3.56-3.83, 1 Pb 3.78
La 0.6123 0.2596 0.4564  7 La 3.47-3.67, 1 Pr 3.59
La 0.7392 0.9114 0.8499  3 Pr 3.44-3.72, 5 La 3.47-3.71
La 0.7666 0.9492 0.4861  2 La 3.17-3.47, 2 Pr 3.46-3.53
La 0.7861 0.9014 0.1535  4 La 3.64-4.01, 6 Pr 3.75-3.99
La 0.9231 0.6622 0.6005  3 Pr 3.50-3.76, 6 La 3.50-3.76
Pr 0.0905 0.3734 0.7110  1 Pb 3.43, 7 La 3.53-3.83, 3 Pr 3.55-3.66
Pr 0.2401 0.7578 0.9101  5 La 3.44-3.85, 3 Pr 3.53-3.66, 1 Pb 3.72
Pr 0.3219 0.7912 0.2317  1 Pb 3.38, 6 La 3.46-3.76, 3 Pr 3.58-3.65
Pr 0.5000 0.5000 0.0000  2 Pb 3.34, 6 Pr 3.53-3.65, 2 La 3.56
Pr 0.6781 0.2088 0.7683  1 Pb 3.38, 6 La 3.46-3.76, 3 Pr 3.58-3.65
Pr 0.7599 0.2422 0.0899  5 La 3.44-3.85, 3 Pr 3.53-3.66, 1 Pb 3.72
Pr 0.9095 0.6266 0.2890  1 Pb 3.43, 7 La 3.53-3.83, 3 Pr 3.55-3.66
Pb 0.0000 0.5000 0.0000  8 Pr 3.34-3.72

Summary:
- ΔE_f (eV per atom) = 0.0134
- DFT total energy (eV for the cell shown) = -96.026
- V (Å³/atom) = 36.22
- calculated density (g/cm³) = 6.557
- space group = P-1 (2)

---

A plane-wave DFT calculation with PBE-GGA was carried out for a geometry-optimized La5PrPb6 structure.

Cell lengths 5.1631, 9.3446, 8.1970 Å; angles 90.00, 107.69, 90.00 degrees
With the nearest neighbours (Å) after each atom.
Atoms (fractional coordinates):
La 0.0000 0.0000 0.0000  8 Pb 3.48-3.49, 4 La 3.65-3.69
La 0.3330 0.0000 0.6656  8 Pb 3.49-3.51, 4 La 3.63-3.69
La 0.3337 0.5000 0.6670  8 Pb 3.48-3.50, 2 Pr 3.64-3.69, 2 La 3.65-3.69
La 0.6663 0.5000 0.3330  8 Pb 3.48-3.50, 2 Pr 3.64-3.69, 2 La 3.65-3.69
La 0.6670 0.0000 0.3344  8 Pb 3.49-3.51, 4 La 3.63-3.69
Pr 0.0000 0.5000 0.0000  8 Pb 3.48, 4 La 3.64-3.69
Pb 0.1656 0.2508 0.3317  7 La 3.48-3.51, 1 Pr 3.48, 4 Pb 3.64-3.71
Pb 0.1656 0.7492 0.3317  7 La 3.48-3.51, 1 Pr 3.48, 4 Pb 3.64-3.71
Pb 0.5000 0.2505 0.0000  2 Pr 3.48, 6 La 3.48-3.51, 4 Pb 3.64-3.68
Pb 0.5000 0.7495 0.0000  2 Pr 3.48, 6 La 3.48-3.51, 4 Pb 3.64-3.68
Pb 0.8344 0.2508 0.6683  7 La 3.48-3.51, 1 Pr 3.48, 4 Pb 3.64-3.71
Pb 0.8344 0.7492 0.6683  7 La 3.48-3.51, 1 Pr 3.48, 4 Pb 3.64-3.71

Summary:
- ΔE_f (eV per atom) = -0.5793
- DFT total energy (eV for the cell shown) = -58.619
- V (Å³/atom) = 31.40
- calculated density (g/cm³) = 9.161
- space group = P2/m (10)

---

A plane-wave DFT calculation with PBE-GGA was carried out for a geometry-optimized La6PrPb structure.

Cell lengths 5.1306, 5.1306, 10.5440 Å; angles 90.00, 90.00, 90.00 degrees
With the nearest neighbours (Å) after each atom.
Atoms (fractional coordinates):
La 0.0000 0.0000 0.0000  8 La 3.63, 4 Pb 3.63
La 0.0000 0.0000 0.5000  4 Pr 3.63, 8 La 3.73
La 0.0000 0.5000 0.2429  8 La 3.63-3.73, 2 Pb 3.63, 2 Pr 3.73
La 0.0000 0.5000 0.7571  8 La 3.63-3.73, 2 Pb 3.63, 2 Pr 3.73
La 0.5000 0.0000 0.2429  8 La 3.63-3.73, 2 Pb 3.63, 2 Pr 3.73
La 0.5000 0.0000 0.7571  8 La 3.63-3.73, 2 Pb 3.63, 2 Pr 3.73
Pr 0.5000 0.5000 0.5000  12 La 3.63-3.73
Pb 0.5000 0.5000 0.0000  12 La 3.63

Summary:
- ΔE_f (eV per atom) = -0.1691
- DFT total energy (eV for the cell shown) = -39.405
- V (Å³/atom) = 34.69
- calculated density (g/cm³) = 7.069
- space group = P4/mmm (123)
- relative energy among the computed polymorphs (meV/atom) = 0

---

A plane-wave DFT calculation with PBE-GGA was carried out for a geometry-optimized LaPrPb6 structure.

Cell lengths 4.9579, 4.9579, 9.8991 Å; angles 90.00, 90.00, 90.00 degrees
With the nearest neighbours (Å) after each atom.
Atoms (fractional coordinates):
La 0.0000 0.0000 0.0000  12 Pb 3.51
Pr 0.0000 0.0000 0.5000  12 Pb 3.50-3.51
Pb 0.0000 0.5000 0.2510  8 Pb 3.50-3.51, 2 Pr 3.50, 2 La 3.51
Pb 0.0000 0.5000 0.7490  8 Pb 3.50-3.51, 2 Pr 3.50, 2 La 3.51
Pb 0.5000 0.0000 0.2510  8 Pb 3.50-3.51, 2 Pr 3.50, 2 La 3.51
Pb 0.5000 0.0000 0.7490  8 Pb 3.50-3.51, 2 Pr 3.50, 2 La 3.51
Pb 0.5000 0.5000 0.0000  4 La 3.51, 8 Pb 3.51
Pb 0.5000 0.5000 0.5000  8 Pb 3.50, 4 Pr 3.51

Summary:
- ΔE_f (eV per atom) = -0.4172
- DFT total energy (eV for the cell shown) = -35.295
- V (Å³/atom) = 30.42
- calculated density (g/cm³) = 10.394
- space group = P4/mmm (123)

---

A plane-wave DFT calculation with PBE-GGA was carried out for a geometry-optimized La6Pr12Pb structure.

Cell lengths 8.8182, 8.8182, 8.8182 Å; angles 88.87, 88.87, 88.87 degrees
With the nearest neighbours (Å) after each atom.
Atoms (fractional coordinates):
La 0.2039 0.5939 0.7630  7 Pr 3.45-3.77, 1 Pb 3.55, 2 La 3.60
La 0.2370 0.7961 0.4061  7 Pr 3.45-3.77, 1 Pb 3.55, 2 La 3.60
La 0.4061 0.2370 0.7961  7 Pr 3.45-3.77, 1 Pb 3.55, 2 La 3.60
La 0.5939 0.7630 0.2039  7 Pr 3.45-3.77, 1 Pb 3.55, 2 La 3.60
La 0.7630 0.2039 0.5939  7 Pr 3.45-3.77, 1 Pb 3.55, 2 La 3.60
La 0.7961 0.4061 0.2370  7 Pr 3.45-3.77, 1 Pb 3.55, 2 La 3.60
Pr 0.0326 0.2832 0.9316  3 Pr 3.40-3.67, 3 La 3.45-3.55
Pr 0.0684 0.9674 0.7168  3 Pr 3.40-3.67, 3 La 3.45-3.55
Pr 0.1367 0.3271 0.4794  4 La 3.53-3.77, 1 Pb 3.58, 5 Pr 3.67-3.87
Pr 0.2832 0.9316 0.0326  3 Pr 3.40-3.67, 3 La 3.45-3.55
Pr 0.3271 0.4794 0.1367  4 La 3.53-3.77, 1 Pb 3.58, 5 Pr 3.67-3.87
Pr 0.4794 0.1367 0.3271  4 La 3.53-3.77, 1 Pb 3.58, 5 Pr 3.67-3.87
Pr 0.5206 0.8633 0.6729  4 La 3.53-3.77, 1 Pb 3.58, 5 Pr 3.67-3.87
Pr 0.6729 0.5206 0.8633  4 La 3.53-3.77, 1 Pb 3.58, 5 Pr 3.67-3.87
Pr 0.7168 0.0684 0.9674  3 Pr 3.40-3.67, 3 La 3.45-3.55
Pr 0.8633 0.6729 0.5206  4 La 3.53-3.77, 1 Pb 3.58, 5 Pr 3.67-3.87
Pr 0.9316 0.0326 0.2832  3 Pr 3.40-3.67, 3 La 3.45-3.55
Pr 0.9674 0.7168 0.0684  3 Pr 3.40-3.67, 3 La 3.45-3.55
Pb 0.5000 0.5000 0.5000  6 La 3.55, 6 Pr 3.58

Summary:
- ΔE_f (eV per atom) = 0.0238
- DFT total energy (eV for the cell shown) = -90.175
- V (Å³/atom) = 36.07
- calculated density (g/cm³) = 6.619
- space group = R-3 (148)
- relative energy among the computed polymorphs (meV/atom) = 0

---

A plane-wave DFT calculation with PBE-GGA was carried out for a geometry-optimized LaPr4Pb2 structure.

Cell lengths 7.7995, 7.7995, 7.7995 Å; angles 133.70, 133.70, 67.56 degrees
With the nearest neighbours (Å) after each atom.
Atoms (fractional coordinates):
La 0.0000 0.0000 0.0000  4 Pr 3.07
Pr 0.0000 0.5000 0.5000  2 La 3.07, 2 Pr 3.24
Pr 0.2500 0.7500 0.5000  2 Pr 3.24, 4 Pb 3.43
Pr 0.5000 0.0000 0.5000  2 La 3.07, 2 Pr 3.24
Pr 0.7500 0.2500 0.5000  2 Pr 3.24, 4 Pb 3.43
Pb 0.3684 0.3684 0.0000  1 Pb 3.41, 8 Pr 3.43-3.51
Pb 0.6316 0.6316 0.0000  1 Pb 3.41, 8 Pr 3.43-3.51

Summary:
- ΔE_f (eV per atom) = -0.0146
- DFT total energy (eV for the cell shown) = -31.564
- V (Å³/atom) = 34.83
- calculated density (g/cm³) = 7.607
- space group = I4/mmm (139)

---

Question: Look up the calculated density of the sixth one.
Answer: 10.394 g/cm³

---

What did the first record say?
A plane-wave DFT calculation with PBE-GGA was carried out for a geometry-optimized LaPr2Pb structure.

Cell lengths 5.0801, 5.0801, 4.9821 Å; angles 90.00, 90.00, 90.00 degrees
With the nearest neighbours (Å) after each atom.
Atoms (fractional coordinates):
La 0.0000 0.0000 0.0000  8 Pr 3.56, 4 Pb 3.59
Pr 0.0000 0.5000 0.5000  4 La 3.56, 4 Pb 3.56, 4 Pr 3.59
Pr 0.5000 0.0000 0.5000  4 La 3.56, 4 Pb 3.56, 4 Pr 3.59
Pb 0.5000 0.5000 0.0000  8 Pr 3.56, 4 La 3.59

Summary:
- ΔE_f (eV per atom) = -0.3612
- DFT total energy (eV for the cell shown) = -19.640
- V (Å³/atom) = 32.14
- calculated density (g/cm³) = 8.109
- space group = P4/mmm (123)
- relative energy among the computed polymorphs (meV/atom) = 0

---

Question: Look up the DFT total energy of the third one.
Answer: -96.026 eV for the cell shown